(1)
Compound: RbNb4I7
Source: Alexandria
Functional: PBE
Structure: relaxed

CIF file:
```
data_RbNb4I7
_chemical_formula_sum 'Rb2 Nb8 I14'
_symmetry_space_group_name_H-M 'P m m n'
_symmetry_Int_Tables_number 59
_cell_length_a 4.6040
_cell_length_b 20.9168
_cell_length_c 9.9536
_cell_angle_alpha 90.00
_cell_angle_beta 90.00
_cell_angle_gamma 90.00
loop_
_symmetry_equiv_pos_as_xyz
'x,y,z'
'-x,-y,-z'
'-x+1/2,-y+1/2,z'
'x+1/2,y+1/2,-z'
'x+1/2,-y,-z'
'-x+1/2,y,z'
'-x,y+1/2,-z'
'x,-y+1/2,z'
loop_
_atom_site_label
_atom_site_type_symbol
_atom_site_fract_x
_atom_site_fract_y
_atom_site_fract_z
Rb1 Rb 0.2500 0.2500 0.1781
Nb1 Nb 0.2500 0.5208 0.6451
Nb2 Nb 0.2500 0.5519 0.3856
I1 I 0.2500 0.0414 0.1728
I2 I 0.2500 0.1080 0.7520
I3 I 0.2500 0.6521 0.5749
I4 I 0.2500 0.7500 0.0756
```

Summary:
Formation energy from raw total energies   -381 meV per atom
DOS at the Fermi energy   0.228 states/eV per atom

(2)
Compound: Dy2Ga6Ir
Source: Alexandria
Functional: PBE
Structure: relaxed

CIF file:
```
data_Dy2Ga6Ir
_chemical_formula_sum 'Dy4 Ga12 Ir2'
_symmetry_space_group_name_H-M 'C 1 2/m 1'
_symmetry_Int_Tables_number 12
_cell_length_a 10.3827
_cell_length_b 5.6507
_cell_length_c 5.8328
_cell_angle_alpha 90.00
_cell_angle_beta 99.24
_cell_angle_gamma 90.00
loop_
_symmetry_equiv_pos_as_xyz
'x,y,z'
'-x,-y,-z'
'-x,y,-z'
'x,-y,z'
'x+1/2,y+1/2,z'
'-x+1/2,-y+1/2,-z'
'-x+1/2,y+1/2,-z'
'x+1/2,-y+1/2,z'
loop_
_atom_site_label
_atom_site_type_symbol
_atom_site_fract_x
_atom_site_fract_y
_atom_site_fract_z
Dy1 Dy 0.1458 0.0000 0.3519
Ga1 Ga 0.1161 0.2392 0.8315
Ga2 Ga 0.1588 0.5000 0.2078
Ir1 Ir 0.0000 0.5000 0.5000
```

Summary:
DOS at the Fermi energy   0.458 states/eV per atom
Formation energy from the elements   -0.57 eV per atom

(3)
Compound: VSeS2
Source: Alexandria
Functional: PBE
Structure: relaxed

CIF file:
```
data_VSeS2
_chemical_formula_sum 'V3 Se3 S6'
_symmetry_space_group_name_H-M 'R -3 m'
_symmetry_Int_Tables_number 166
_symmetry_space_group_name_Hall '-R 3 2"'
_cell_length_a 3.3262
_cell_length_b 3.3262
_cell_length_c 23.9480
_cell_angle_alpha 90.00
_cell_angle_beta 90.00
_cell_angle_gamma 120.00
loop_
_atom_site_label
_atom_site_type_symbol
_atom_site_fract_x
_atom_site_fract_y
_atom_site_fract_z
V1 V 0.0000 0.0000 0.0000
Se1 Se 0.0000 0.0000 0.5000
S1 S 0.0000 0.0000 0.0904
```

Summary:
Formation energy from raw total energies   578 meV per atom
DOS at the Fermi energy   0.871 states/eV per atom

(4)
Compound: ScAl2W
Source: Alexandria
Functional: PBE
Structure: relaxed

CIF file:
```
data_ScAl2W
_chemical_formula_sum 'Sc1 Al2 W1'
_symmetry_space_group_name_H-M 'P 1 m 1'
_symmetry_Int_Tables_number 6
_cell_length_a 2.8889
_cell_length_b 4.6024
_cell_length_c 5.1120
_cell_angle_alpha 90.00
_cell_angle_beta 96.28
_cell_angle_gamma 90.00
loop_
_symmetry_equiv_pos_as_xyz
'x,y,z'
'x,-y,z'
loop_
_atom_site_label
_atom_site_type_symbol
_atom_site_fract_x
_atom_site_fract_y
_atom_site_fract_z
Sc1 Sc 0.0000 0.0000 0.0000
Al1 Al 0.4333 0.0000 0.4992
Al2 Al 0.4393 0.5000 0.8022
W1 W 0.8278 0.5000 0.3201
```

Summary:
E above lowest polymorph   84 meV per atom
DOS at the Fermi energy   0.603 states/eV per atom
Formation energy from the elements   -0.12 eV per atom